# MgPb2Au | Alexandria via LeMat-Bulk | PBE-GGA | optimized geometry
# Volume = 203 Å³ per cell
# Crystal system = orthorhombic
# Calculated formation energy = -0.110 eV per atom
# Size of the total moment = 0.00 Bohr magnetons per cell
# Raw total energy = -25.457 eV/cell
data_MgPb2Au
_chemical_formula_sum 'Mg2 Pb4 Au2'
_symmetry_space_group_name_H-M 'I m m 2'
_symmetry_Int_Tables_number 44
_cell_length_a 3.542
_cell_length_b 5.269
_cell_length_c 10.891
_cell_angle_alpha 90.00
_cell_angle_beta 90.00
_cell_angle_gamma 90.00
loop_
_symmetry_equiv_pos_as_xyz
'x,y,z'
'-x,-y,z'
'-x,y,z'
'x,-y,z'
'x+1/2,y+1/2,z+1/2'
'-x+1/2,-y+1/2,z+1/2'
'-x+1/2,y+1/2,z+1/2'
'x+1/2,-y+1/2,z+1/2'
loop_
_atom_site_label
_atom_site_type_symbol
_atom_site_fract_x
_atom_site_fract_y
_atom_site_fract_z
Mg1 Mg 0.000 0.000 0.000
Pb1 Pb 0.000 0.000 0.563
Pb2 Pb 0.000 0.500 0.775
Au1 Au 0.000 0.500 0.308

# Ba2LiCdAg2 | Alexandria via LeMat-Bulk | PBE-GGA | optimized geometry
# Volume = 758 Å³ per cell
# Crystal system = orthorhombic
# Calculated formation energy = -0.217 eV per atom
# Size of the total moment = 0.00 Bohr magnetons per cell
# Raw total energy = -54.719 eV/cell
data_Ba2LiCdAg2
_chemical_formula_sum 'Ba8 Li4 Cd4 Ag8'
_symmetry_space_group_name_H-M 'I b a m'
_symmetry_Int_Tables_number 72
_symmetry_space_group_name_Hall '-I 2 2c'
_cell_length_a 6.673
_cell_length_b 16.472
_cell_length_c 6.900
_cell_angle_alpha 90.00
_cell_angle_beta 90.00
_cell_angle_gamma 90.00
loop_
_atom_site_label
_atom_site_type_symbol
_atom_site_fract_x
_atom_site_fract_y
_atom_site_fract_z
Ba1 Ba 0.244 0.165 0.000
Li1 Li 0.000 0.500 0.250
Cd1 Cd 0.000 0.000 0.250
Ag1 Ag 0.241 0.397 0.000

# Pr3In2Hg2 | Alexandria via LeMat-Bulk | PBE-GGA | optimized geometry
# Volume = 393 Å³ per cell
# Crystal system = orthorhombic
# Calculated formation energy = -0.461 eV per atom
# Size of the total moment = 0.00 Bohr magnetons per cell
# Raw total energy = -47.286 eV/cell
data_Pr3In2Hg2
_chemical_formula_sum 'Pr6 In4 Hg4'
_symmetry_space_group_name_H-M 'C m m m'
_symmetry_Int_Tables_number 65
_symmetry_space_group_name_Hall '-C 2 2'
_cell_length_a 4.809
_cell_length_b 22.636
_cell_length_c 3.609
_cell_angle_alpha 90.00
_cell_angle_beta 90.00
_cell_angle_gamma 90.00
loop_
_atom_site_label
_atom_site_type_symbol
_atom_site_fract_x
_atom_site_fract_y
_atom_site_fract_z
Pr1 Pr 0.000 0.000 0.000
Pr2 Pr 0.000 0.157 0.000
In1 In 0.000 0.425 0.500
Hg1 Hg 0.000 0.287 0.500

# RbCaBr | Alexandria via LeMat-Bulk | PBE-GGA | optimized geometry
# Volume = 541 Å³ per cell
# Crystal system = monoclinic
# Size of the total moment = 0.00 Bohr magnetons per cell
# Formation energy without anion corrections = -0.921 eV per atom
# Energy relative to the lowest polymorph listed for this composition = 0.000 eV/f.u.
# Raw total energy = -29.620 eV/cell
data_RbCaBr
_chemical_formula_sum 'Rb4 Ca4 Br4'
_symmetry_space_group_name_H-M 'C 1 2/m 1'
_symmetry_Int_Tables_number 12
_cell_length_a 15.648
_cell_length_b 4.404
_cell_length_c 7.906
_cell_angle_alpha 90.00
_cell_angle_beta 96.75
_cell_angle_gamma 90.00
loop_
_symmetry_equiv_pos_as_xyz
'x,y,z'
'-x,-y,-z'
'-x,y,-z'
'x,-y,z'
'x+1/2,y+1/2,z'
'-x+1/2,-y+1/2,-z'
'-x+1/2,y+1/2,-z'
'x+1/2,-y+1/2,z'
loop_
_atom_site_label
_atom_site_type_symbol
_atom_site_fract_x
_atom_site_fract_y
_atom_site_fract_z
Rb1 Rb 0.130 0.000 0.037
Ca1 Ca 0.150 0.500 0.530
Br1 Br 0.001 0.500 0.742